# 1
VASP calculation (GGA-PBE) on PmAgPbS3 after structural relaxation.

ΔE_f (raw): -1.009 eV/atom
DFT total energy: -4.958 eV per atom

```
data_PmAgPbS3
_space_group_name_H-M_alt 'P 1 21/m 1'
_space_group_IT_number 11
_cell_length_a 8.3597
_cell_length_b 4.0893
_cell_length_c 8.9162
_cell_angle_alpha 90.00
_cell_angle_beta 102.23
_cell_angle_gamma 90.00
loop_
_space_group_symop_operation_xyz
'x,y,z'
'-x,-y,-z'
'-x,y+1/2,-z'
'x,-y+1/2,z'
loop_
_atom_site_label
_atom_site_type_symbol
_atom_site_fract_x
_atom_site_fract_y
_atom_site_fract_z
Pm1 Pm 0.1718 0.2500 0.1725
Ag1 Ag 0.4053 0.7500 0.4155
Pb1 Pb 0.3091 0.7500 0.7733
S1 S 0.0687 0.2500 0.8443
S2 S 0.2541 0.2500 0.4967
S3 S 0.3926 0.7500 0.1264
```

=====

# 2
VASP calculation (GGA-PBE) on PmAgSbPb after structural relaxation.

ΔE_f (raw): -0.302 eV/atom
DFT total energy: -4.160 eV per atom

```
data_PmAgSbPb
_space_group_name_H-M_alt 'F -4 3 m'
_space_group_IT_number 216
_space_group_name_Hall 'F -4 2 3'
_cell_length_a 7.5727
_cell_length_b 7.5727
_cell_length_c 7.5727
_cell_angle_alpha 90.00
_cell_angle_beta 90.00
_cell_angle_gamma 90.00
loop_
_atom_site_label
_atom_site_type_symbol
_atom_site_fract_x
_atom_site_fract_y
_atom_site_fract_z
Pm1 Pm 0.0000 0.0000 0.0000
Ag1 Ag 0.2500 0.2500 0.7500
Sb1 Sb 0.2500 0.2500 0.2500
Pb1 Pb 0.0000 0.0000 0.5000
```

=====

# 3
VASP calculation (GGA-PBE) on PmAg2Pb2Se4 after structural relaxation.

ΔE_f (raw): -0.670 eV/atom
DFT total energy: -4.204 eV per atom

```
data_PmAg2Pb2Se4
_space_group_name_H-M_alt 'C 1 2/m 1'
_space_group_IT_number 12
_cell_length_a 16.0472
_cell_length_b 4.2285
_cell_length_c 7.7602
_cell_angle_alpha 90.00
_cell_angle_beta 116.54
_cell_angle_gamma 90.00
loop_
_space_group_symop_operation_xyz
'x,y,z'
'-x,-y,-z'
'-x,y,-z'
'x,-y,z'
'x+1/2,y+1/2,z'
'-x+1/2,-y+1/2,-z'
'-x+1/2,y+1/2,-z'
'x+1/2,-y+1/2,z'
loop_
_atom_site_label
_atom_site_type_symbol
_atom_site_fract_x
_atom_site_fract_y
_atom_site_fract_z
Pm1 Pm 0.0000 0.0000 0.0000
Ag1 Ag 0.1846 0.5000 0.9898
Pb1 Pb 0.1416 0.0000 0.5837
Se1 Se 0.0052 0.5000 0.7408
Se2 Se 0.2053 0.0000 0.2565
```

=====

# 4
VASP calculation (GGA-PBE) on Pm2AgPb3Se6 after structural relaxation.

ΔE_f (raw): -0.929 eV/atom
DFT total energy: -4.628 eV per atom

```
data_Pm2AgPb3Se6
_space_group_name_H-M_alt 'C 1 2/m 1'
_space_group_IT_number 12
_cell_length_a 18.9493
_cell_length_b 4.2933
_cell_length_c 8.5574
_cell_angle_alpha 90.00
_cell_angle_beta 102.80
_cell_angle_gamma 90.00
loop_
_space_group_symop_operation_xyz
'x,y,z'
'-x,-y,-z'
'-x,y,-z'
'x,-y,z'
'x+1/2,y+1/2,z'
'-x+1/2,-y+1/2,-z'
'-x+1/2,y+1/2,-z'
'x+1/2,-y+1/2,z'
loop_
_atom_site_label
_atom_site_type_symbol
_atom_site_fract_x
_atom_site_fract_y
_atom_site_fract_z
Pm1 Pm 0.1648 0.0000 0.3312
Ag1 Ag 0.0000 0.5000 0.0000
Pb1 Pb 0.0000 0.5000 0.5000
Pb2 Pb 0.1582 0.0000 0.8452
Se1 Se 0.0085 0.0000 0.2350
Se2 Se 0.1701 0.5000 0.5756
Se3 Se 0.1761 0.5000 0.0981
```

=====

# 5
VASP calculation (GGA-PBE) on PmSm2Ag2Pb2 after structural relaxation.

Calculated formation energy: -2.1 eV/f.u.
DFT total energy: -4.197 eV per atom

```
data_PmSm2Ag2Pb2
_space_group_name_H-M_alt 'R -3 m'
_space_group_IT_number 166
_space_group_name_Hall '-R 3 2"'
_cell_length_a 4.9789
_cell_length_b 4.9789
_cell_length_c 26.5867
_cell_angle_alpha 90.00
_cell_angle_beta 90.00
_cell_angle_gamma 120.00
loop_
_atom_site_label
_atom_site_type_symbol
_atom_site_fract_x
_atom_site_fract_y
_atom_site_fract_z
Pm1 Pm 0.0000 0.0000 0.0000
Sm1 Sm 0.0000 0.0000 0.1354
Ag1 Ag 0.0000 0.0000 0.4397
Pb1 Pb 0.0000 0.0000 0.2675
```

=====

# 6
VASP calculation (GGA-PBE) on PmAgSnPb after structural relaxation.

Calculated formation energy: -0.8 eV/f.u.
DFT total energy: -4.033 eV per atom

```
data_PmAgSnPb
_space_group_name_H-M_alt 'F -4 3 m'
_space_group_IT_number 216
_space_group_name_Hall 'F -4 2 3'
_cell_length_a 7.5739
_cell_length_b 7.5739
_cell_length_c 7.5739
_cell_angle_alpha 90.00
_cell_angle_beta 90.00
_cell_angle_gamma 90.00
loop_
_atom_site_label
_atom_site_type_symbol
_atom_site_fract_x
_atom_site_fract_y
_atom_site_fract_z
Pm1 Pm 0.0000 0.0000 0.0000
Ag1 Ag 0.2500 0.2500 0.2500
Sn1 Sn 0.2500 0.2500 0.7500
Pb1 Pb 0.0000 0.0000 0.5000
```